(1)
Below is CePu2ThAs4 after structural relaxation, with properties calculated at the PBE level.

Cell: 7.233 4.211 7.293 Å, 90.00 109.63 90.00°
Space group P2/m (No. 10)
Inequivalent atoms, fractional coordinates:
Ce 0.000 0.000 0.000 x1
Pu 0.500 0.000 0.500 x1
Pu 0.500 0.500 0.000 x1
Th 0.000 0.500 0.500 x1
As 0.255 0.500 0.251 x2
As 0.256 0.000 0.753 x2

Output
Total DFT energy (no corrections): -70.569 eV per cell
Formation energy from the elements: -1.2441 eV/atom

---

(2)
Below is CePuTh2As4 after structural relaxation, with properties calculated at the PBE level.

Cell: 8.441 8.469 11.962 Å, 90.00 90.00 90.00°
Space group Imma (No. 74)
Inequivalent atoms, fractional coordinates:
Ce 0.250 0.250 0.250 x4
Pu 0.000 0.000 0.000 x4
Th 0.000 0.000 0.500 x4
Th 0.250 0.250 0.750 x4
As 0.000 0.002 0.249 x8
As 0.246 0.250 0.001 x8

Output
Total DFT energy (no corrections): -257.628 eV per cell
Formation energy from the elements: -1.3379 eV/atom